Record 1
{
  "formula": "Ce2PaMoC4",
  "functional": "GGA-PBE",
  "state": "optimized geometry",
  "lattice_angstrom": [[1.7162, -5.9424, 0.0000], [1.7162, 5.9424, 0.0000], [0.0000, 0.0000, 12.7155]],
  "species": ["Ce", "Ce", "Ce", "Ce", "Pa", "Pa", "Mo", "Mo", "C", "C", "C", "C", "C", "C", "C", "C"],
  "fractional_positions": [[0.1356, 0.8644, 0.5362], [0.1356, 0.8644, 0.9638], [0.8644, 0.1356, 0.0362], [0.8644, 0.1356, 0.4638], [0.3888, 0.6112, 0.7500], [0.6112, 0.3888, 0.2500], [0.3454, 0.6546, 0.2500], [0.6546, 0.3454, 0.7500], [0.0458, 0.9542, 0.7500], [0.2298, 0.7702, 0.1388], [0.2298, 0.7702, 0.3612], [0.5000, 0.5000, 0.0000], [0.5000, 0.5000, 0.5000], [0.7702, 0.2298, 0.6388], [0.7702, 0.2298, 0.8612], [0.9542, 0.0458, 0.2500]],
  "total_energy_ev_per_atom": -8.6205,
  "rho_g_cm3": 8.4
}


Record 2
{
  "formula": "CeSiMo2C",
  "functional": "GGA-PBE",
  "state": "optimized geometry",
  "lattice_angstrom": [[1.8369, -5.7686, 0.0000], [1.8369, 5.7686, 0.0000], [0.0000, 0.0000, 7.8072]],
  "species": ["Ce", "Ce", "Si", "Si", "Mo", "Mo", "Mo", "Mo", "C", "C"],
  "fractional_positions": [[0.0336, 0.9664, 0.7500], [0.9664, 0.0336, 0.2500], [0.2492, 0.7508, 0.2500], [0.7508, 0.2492, 0.7500], [0.3305, 0.6695, 0.5595], [0.3305, 0.6695, 0.9405], [0.6695, 0.3305, 0.0595], [0.6695, 0.3305, 0.4405], [0.5000, 0.5000, 0.0000], [0.5000, 0.5000, 0.5000]],
  "raw_formation_energy_ev_per_atom": -0.415,
  "total_energy_ev_per_atom": -8.8638,
  "rho_g_cm3": 7.5
}


Record 3
{
  "formula": "CeSi2Mo2C",
  "functional": "GGA-PBE",
  "state": "optimized geometry",
  "lattice_angstrom": [[4.2264, 0.0000, 0.0000], [0.0000, 4.2264, 0.0000], [0.0000, 0.0000, 5.3432]],
  "species": ["Ce", "Si", "Si", "Mo", "Mo", "C"],
  "fractional_positions": [[0.0000, 0.0000, 0.0000], [0.5000, 0.5000, 0.2203], [0.5000, 0.5000, 0.7797], [0.0000, 0.5000, 0.5000], [0.5000, 0.0000, 0.5000], [0.0000, 0.0000, 0.5000]],
  "raw_formation_energy_ev_per_atom": -0.514,
  "total_energy_ev_per_atom": -8.4580,
  "rho_g_cm3": 7.0
}


| no. | volume (Å³/atom) |
| --- | --- |
| 1 | 16.21 |
| 2 | 16.55 |
| 3 | 15.91 |